This record from the Alexandria database describes CoHgTe at its PBEsol-relaxed geometry. The functional is meta-GGA SCAN.

Geometry as extended XYZ:
```
3
Lattice="4.3610 0.0000 0.0000 2.1805 3.7767 0.0000 2.1805 1.2589 3.5607" Properties=species:S:1:pos:R:3 pbc="T T T"
Te 4.3610 2.5178 1.7804
Hg 0.0000 0.0000 0.0000
Co 2.1805 1.2589 0.8902
```

polymorph energy (0 for the lowest one): 127 meV per atom
crystal system: cubic
formation energy (no corrections): 30.5 kJ/mol of atoms